# GGA-PBE Si2TcPtSe, relaxed
# - Uncorrected formation energy: 0.734 eV/atom
data_Si2TcPtSe
_symmetry_space_group_name_H-M 'P 4/m m m'
_symmetry_Int_Tables_number 123
_symmetry_space_group_name_Hall '-P 4 2'
_cell_length_a 4.579
_cell_length_b 4.579
_cell_length_c 4.997
_cell_angle_alpha 90.00
_cell_angle_beta 90.00
_cell_angle_gamma 90.00
loop_
_atom_site_label
_atom_site_fract_x
_atom_site_fract_y
_atom_site_fract_z
Si1 0.000 0.500 0.000
Tc1 0.000 0.000 0.000
Pt1 0.000 0.000 0.500
Se1 0.500 0.500 0.500

# GGA-PBE Th4SiPtSe2, relaxed
# - Uncorrected formation energy: -1.260 eV/atom
data_Th4SiPtSe2
_symmetry_space_group_name_H-M 'P 1 2/m 1'
_symmetry_Int_Tables_number 10
_cell_length_a 7.371
_cell_length_b 4.155
_cell_length_c 7.490
_cell_angle_alpha 90.00
_cell_angle_beta 108.74
_cell_angle_gamma 90.00
loop_
_symmetry_equiv_pos_as_xyz
'x,y,z'
'-x,-y,-z'
'-x,y,-z'
'x,-y,z'
loop_
_atom_site_label
_atom_site_fract_x
_atom_site_fract_y
_atom_site_fract_z
Th1 0.230 0.000 0.239
Th2 0.237 0.500 0.743
Si1 0.000 0.000 0.500
Pt1 0.000 0.500 0.000
Se1 0.500 0.000 0.000
Se2 0.500 0.500 0.500

# GGA-PBE Th6SiPt2Se3, relaxed
# - Uncorrected formation energy: -1.286 eV/atom
data_Th6SiPt2Se3
_symmetry_space_group_name_H-M 'C 1 2/m 1'
_symmetry_Int_Tables_number 12
_cell_length_a 18.608
_cell_length_b 4.150
_cell_length_c 8.699
_cell_angle_alpha 90.00
_cell_angle_beta 103.16
_cell_angle_gamma 90.00
loop_
_symmetry_equiv_pos_as_xyz
'x,y,z'
'-x,-y,-z'
'-x,y,-z'
'x,-y,z'
'x+1/2,y+1/2,z'
'-x+1/2,-y+1/2,-z'
'-x+1/2,y+1/2,-z'
'x+1/2,-y+1/2,z'
loop_
_atom_site_label
_atom_site_fract_x
_atom_site_fract_y
_atom_site_fract_z
Th1 0.003 0.000 0.241
Th2 0.163 0.500 0.095
Th3 0.169 0.500 0.568
Si1 0.000 0.500 0.000
Pt1 0.168 0.000 0.333
Se1 0.000 0.500 0.500
Se2 0.165 0.000 0.834

# GGA-PBE ZnSiPt2Se, relaxed
# - Uncorrected formation energy: 0.812 eV/atom
data_ZnSiPt2Se
_symmetry_space_group_name_H-M 'P 4/m m m'
_symmetry_Int_Tables_number 123
_symmetry_space_group_name_Hall '-P 4 2'
_cell_length_a 4.710
_cell_length_b 4.710
_cell_length_c 4.670
_cell_angle_alpha 90.00
_cell_angle_beta 90.00
_cell_angle_gamma 90.00
loop_
_atom_site_label
_atom_site_fract_x
_atom_site_fract_y
_atom_site_fract_z
Zn1 0.000 0.000 0.000
Si1 0.500 0.500 0.500
Pt1 0.000 0.500 0.000
Se1 0.000 0.000 0.500

# GGA-PBE Sm2PtSe, relaxed
# - Excess energy over the best structure of this formula in the dataset: 0.032 eV per atom
# - Uncorrected formation energy: -1.453 eV/atom
data_Sm2PtSe
_symmetry_space_group_name_H-M 'R -3 m'
_symmetry_Int_Tables_number 166
_symmetry_space_group_name_Hall '-R 3 2"'
_cell_length_a 4.1020
_cell_length_b 4.1020
_cell_length_c 21.6647
_cell_angle_alpha 90.00
_cell_angle_beta 90.00
_cell_angle_gamma 120.00
loop_
_atom_site_label
_atom_site_fract_x
_atom_site_fract_y
_atom_site_fract_z
Sm1 0.0000 0.0000 0.2439
Pt1 0.0000 0.0000 0.5000
Se1 0.0000 0.0000 0.0000

# GGA-PBE SmPtSe, relaxed
# - Uncorrected formation energy: -1.257 eV/atom
data_SmPtSe
_symmetry_space_group_name_H-M 'P -1'
_symmetry_Int_Tables_number 2
_cell_length_a 3.854
_cell_length_b 4.037
_cell_length_c 9.454
_cell_angle_alpha 90.02
_cell_angle_beta 101.72
_cell_angle_gamma 90.00
loop_
_symmetry_equiv_pos_as_xyz
'x,y,z'
'-x,-y,-z'
loop_
_atom_site_label
_atom_site_fract_x
_atom_site_fract_y
_atom_site_fract_z
Sm1 0.116 0.249 0.229
Pt1 0.455 0.250 0.912
Se1 0.317 0.252 0.638

# GGA-PBE Sm6PtSe5, relaxed
# - Uncorrected formation energy: -1.734 eV/atom
data_Sm6PtSe5
_symmetry_space_group_name_H-M 'C 1 2/m 1'
_symmetry_Int_Tables_number 12
_cell_length_a 7.266
_cell_length_b 12.560
_cell_length_c 7.245
_cell_angle_alpha 90.00
_cell_angle_beta 109.61
_cell_angle_gamma 90.00
loop_
_symmetry_equiv_pos_as_xyz
'x,y,z'
'-x,-y,-z'
'-x,y,-z'
'x,-y,z'
'x+1/2,y+1/2,z'
'-x+1/2,-y+1/2,-z'
'-x+1/2,y+1/2,-z'
'x+1/2,-y+1/2,z'
loop_
_atom_site_label
_atom_site_fract_x
_atom_site_fract_y
_atom_site_fract_z
Sm1 0.242 0.163 0.242
Sm2 0.243 0.000 0.754
Pt1 0.000 0.000 0.000
Se1 0.000 0.172 0.500
Se2 0.000 0.335 0.000
Se3 0.000 0.500 0.500

# GGA-PBE Sm3PtSe2, relaxed
# - Excess energy over the best structure of this formula in the dataset: 0.000 eV per atom
# - Uncorrected formation energy: -1.587 eV/atom
data_Sm3PtSe2
_symmetry_space_group_name_H-M 'F d d d'
_symmetry_Int_Tables_number 70
_cell_length_a 8.542
_cell_length_b 11.880
_cell_length_c 24.841
_cell_angle_alpha 90.00
_cell_angle_beta 90.00
_cell_angle_gamma 90.00
loop_
_symmetry_equiv_pos_as_xyz
'x,y,z'
'-x,-y,-z'
'-x+1/4,-y+1/4,z'
'x+1/4,y+1/4,-z'
'x,-y+1/4,-z+1/4'
'-x,y+1/4,z+1/4'
'-x+1/4,y,-z+1/4'
'x+1/4,-y,z+1/4'
'x,y+1/2,z+1/2'
'-x,-y+1/2,-z+1/2'
'-x+1/4,-y+3/4,z+1/2'
'x+1/4,y+3/4,-z+1/2'
'x,-y+3/4,-z+3/4'
'-x,y+3/4,z+3/4'
'-x+1/4,y+1/2,-z+3/4'
'x+1/4,-y+1/2,z+3/4'
'x+1/2,y,z+1/2'
'-x+1/2,-y,-z+1/2'
'-x+3/4,-y+1/4,z+1/2'
'x+3/4,y+1/4,-z+1/2'
'x+1/2,-y+1/4,-z+3/4'
'-x+1/2,y+1/4,z+3/4'
'-x+3/4,y,-z+3/4'
'x+3/4,-y,z+3/4'
'x+1/2,y+1/2,z'
'-x+1/2,-y+1/2,-z'
'-x+3/4,-y+3/4,z'
'x+3/4,y+3/4,-z'
'x+1/2,-y+3/4,-z+1/4'
'-x+1/2,y+3/4,z+1/4'
'-x+3/4,y+1/2,-z+1/4'
'x+3/4,-y+1/2,z+1/4'
loop_
_atom_site_label
_atom_site_fract_x
_atom_site_fract_y
_atom_site_fract_z
Sm1 0.113 0.375 0.375
Sm2 0.120 0.368 0.211
Pt1 0.125 0.125 0.041
Se1 0.125 0.125 0.377
Se2 0.125 0.125 0.545

# GGA-PBE Sm2PtSe, relaxed
# - Excess energy over the best structure of this formula in the dataset: 0.070 eV per atom
# - Uncorrected formation energy: -1.414 eV/atom
data_Sm2PtSe
_symmetry_space_group_name_H-M 'R 3 m'
_symmetry_Int_Tables_number 160
_symmetry_space_group_name_Hall 'R 3 -2"'
_cell_length_a 4.1187
_cell_length_b 4.1187
_cell_length_c 21.8604
_cell_angle_alpha 90.00
_cell_angle_beta 90.00
_cell_angle_gamma 120.00
loop_
_atom_site_label
_atom_site_fract_x
_atom_site_fract_y
_atom_site_fract_z
Sm1 0.0000 0.0000 0.0000
Sm2 0.0000 0.0000 0.1840
Pt1 0.0000 0.0000 0.5920
Se1 0.0000 0.0000 0.4245

# GGA-PBE Sm5PtSe4, relaxed
# - Uncorrected formation energy: -1.676 eV/atom
data_Sm5PtSe4
_symmetry_space_group_name_H-M 'I 4/m m m'
_symmetry_Int_Tables_number 139
_symmetry_space_group_name_Hall '-I 4 2'
_cell_length_a 4.168
_cell_length_b 4.168
_cell_length_c 29.726
_cell_angle_alpha 90.00
_cell_angle_beta 90.00
_cell_angle_gamma 90.00
loop_
_atom_site_label
_atom_site_fract_x
_atom_site_fract_y
_atom_site_fract_z
Sm1 0.000 0.000 0.000
Sm2 0.000 0.000 0.202
Sm3 0.000 0.000 0.402
Pt1 0.000 0.000 0.500
Se1 0.000 0.000 0.102
Se2 0.000 0.000 0.302

# GGA-PBE Sm2PtSe, relaxed
# - Excess energy over the best structure of this formula in the dataset: 0.000 eV per atom
# - Uncorrected formation energy: -1.485 eV/atom
data_Sm2PtSe
_symmetry_space_group_name_H-M 'C m c m'
_symmetry_Int_Tables_number 63
_symmetry_space_group_name_Hall '-C 2c 2'
_cell_length_a 3.944
_cell_length_b 22.937
_cell_length_c 4.408
_cell_angle_alpha 90.00
_cell_angle_beta 90.00
_cell_angle_gamma 90.00
loop_
_atom_site_label
_atom_site_fract_x
_atom_site_fract_y
_atom_site_fract_z
Sm1 0.000 0.062 0.250
Sm2 0.000 0.322 0.250
Pt1 0.000 0.455 0.250
Se1 0.000 0.192 0.250

# GGA-PBE Sm2PtSe, relaxed
# - Excess energy over the best structure of this formula in the dataset: 0.034 eV per atom
# - Uncorrected formation energy: -1.451 eV/atom
data_Sm2PtSe
_symmetry_space_group_name_H-M 'P m m n'
_symmetry_Int_Tables_number 59
_cell_length_a 4.109
_cell_length_b 5.948
_cell_length_c 8.594
_cell_angle_alpha 90.00
_cell_angle_beta 90.00
_cell_angle_gamma 90.00
loop_
_symmetry_equiv_pos_as_xyz
'x,y,z'
'-x,-y,-z'
'-x+1/2,-y+1/2,z'
'x+1/2,y+1/2,-z'
'x+1/2,-y,-z'
'-x+1/2,y,z'
'-x,y+1/2,-z'
'x,-y+1/2,z'
loop_
_atom_site_label
_atom_site_fract_x
_atom_site_fract_y
_atom_site_fract_z
Sm1 0.250 0.250 0.121
Sm2 0.250 0.250 0.650
Pt1 0.250 0.750 0.117
Se1 0.250 0.750 0.608

# GGA-PBE Sm3PtSe2, relaxed
# - Excess energy over the best structure of this formula in the dataset: 0.020 eV per atom
# - Uncorrected formation energy: -1.567 eV/atom
data_Sm3PtSe2
_symmetry_space_group_name_H-M 'I m m m'
_symmetry_Int_Tables_number 71
_symmetry_space_group_name_Hall '-I 2 2'
_cell_length_a 4.069
_cell_length_b 6.004
_cell_length_c 12.887
_cell_angle_alpha 90.00
_cell_angle_beta 90.00
_cell_angle_gamma 90.00
loop_
_atom_site_label
_atom_site_fract_x
_atom_site_fract_y
_atom_site_fract_z
Sm1 0.000 0.000 0.000
Sm2 0.000 0.000 0.344
Pt1 0.000 0.500 0.000
Se1 0.000 0.500 0.330

# GGA-PBE TbSmPtSe, relaxed
# - Uncorrected formation energy: -1.403 eV/atom
data_TbSmPtSe
_symmetry_space_group_name_H-M 'R 3 m'
_symmetry_Int_Tables_number 160
_symmetry_space_group_name_Hall 'R 3 -2"'
_cell_length_a 3.9833
_cell_length_b 3.9833
_cell_length_c 22.2658
_cell_angle_alpha 90.00
_cell_angle_beta 90.00
_cell_angle_gamma 120.00
loop_
_atom_site_label
_atom_site_fract_x
_atom_site_fract_y
_atom_site_fract_z
Tb1 0.0000 0.0000 0.0000
Sm1 0.0000 0.0000 0.1614
Pt1 0.0000 0.0000 0.4121
Se1 0.0000 0.0000 0.5832